Here is KSiTe4 at its PBEsol-relaxed geometry from Alexandria. Energies are from SCAN.

```
KSiTe4
1.0
6.353 0.000 0.000
3.177 5.502 0.000
3.177 1.834 5.187
Te K Si
4 1 1
direct
0.877 0.374 0.374
0.374 0.877 0.374
0.374 0.374 0.877
0.374 0.374 0.374
0.750 0.750 0.750
0.000 0.000 0.000
```

formation energy from raw total energies	2.15	eV per formula unit
total magnetic moment	1.00	μB per formula unit
DOS(E_F)	4.0	states/eV per cell
SG	F-43m (216)